Record 1
# WIOF2

WIOF2 after structural relaxation (PBE+U, the Alexandria database).

Unit cell a=4.448 b=4.448 c=4.029 alpha=90.00 beta=90.00 gamma=90.00
Each line ends with the local moment (μB).
Atoms (fractional coordinates):
1 I 0.500 0.500 0.500  -0.60
2 O 0.000 0.000 0.500  -0.41
3 W 0.000 0.000 0.000  2.27
4 F 0.000 0.500 0.000  -0.03
5 F 0.500 0.000 0.000  -0.03

* SG: No. 123
* final energy: -4.774 eV/atom
* distance to the lowest polymorph of the same formula: 0.000 eV/atom
* density of states at the Fermi level: 1.44 states/eV/cell

---

Record 2
# WIO2F

WIO2F after structural relaxation (PBE+U, the Alexandria database).

Unit cell a=4.004 b=4.004 c=6.264 alpha=90.00 beta=90.00 gamma=90.00
Each line ends with the local moment (μB).
Atoms (fractional coordinates):
1 I 0.000 0.000 0.000  0.01
2 O 0.000 0.500 0.000  0.02
3 O 0.500 0.000 0.000  0.02
4 W 0.500 0.500 0.500  3.71
5 F 0.000 0.000 0.500  0.04

* SG: No. 123
* final energy: -3.912 eV/atom
* density of states at the Fermi level: 2.43 states/eV/cell

---

Record 3
# WIO2F

WIO2F after structural relaxation (PBE+U, the Alexandria database).

Unit cell a=3.977 b=3.977 c=4.679 alpha=90.00 beta=90.00 gamma=90.00
Each line ends with the local moment (μB).
Atoms (fractional coordinates):
1 I 0.500 0.500 0.500  -0.41
2 O 0.000 0.500 0.000  -0.04
3 O 0.500 0.000 0.000  -0.04
4 W 0.000 0.000 0.000  -0.01
5 F 0.000 0.000 0.500  -0.06

* SG: No. 123
* final energy: -4.947 eV/atom
* density of states at the Fermi level: 5.06 states/eV/cell

---

What is the density of states at the Fermi level in the second record? 2.43 states/eV/cell

---

What is the final energy in the third record? -4.947 eV/atom

---

Please write out number 2 again, unchanged.
# WIO2F

WIO2F after structural relaxation (PBE+U, the Alexandria database).

Unit cell a=4.004 b=4.004 c=6.264 alpha=90.00 beta=90.00 gamma=90.00
Each line ends with the local moment (μB).
Atoms (fractional coordinates):
1 I 0.000 0.000 0.000  0.01
2 O 0.000 0.500 0.000  0.02
3 O 0.500 0.000 0.000  0.02
4 W 0.500 0.500 0.500  3.71
5 F 0.000 0.000 0.500  0.04

* SG: No. 123
* final energy: -3.912 eV/atom
* density of states at the Fermi level: 2.43 states/eV/cell